A plane-wave DFT calculation with PBE was carried out for a geometry-optimized Er5ThPb4 structure.

Unit cell a=5.1083 b=6.5132 c=10.5845 alpha=119.77 beta=103.96 gamma=90.00
Sites, in units of the cell vectors:
1 Er 0.6897 0.5900 0.3794
2 Er 0.8867 0.0797 0.7734
3 Er 0.1133 0.9203 0.2266
4 Er 0.5000 0.5000 0.0000
5 Er 0.3103 0.4100 0.6206
6 Th 0.5000 0.0000 0.0000
7 Pb 0.2957 0.8710 0.5913
8 Pb 0.9232 0.6228 0.8463
9 Pb 0.7043 0.1290 0.4087
10 Pb 0.0768 0.3772 0.1537

Output
* total magnetic moment: 0.0 μB per formula unit
* N(E_F): 5.8 states/eV/f.u.

A plane-wave DFT calculation with PBE was carried out for a geometry-optimized ErThPb structure.

Unit cell a=4.4781 b=9.9550 c=8.2609 alpha=90.00 beta=90.00 gamma=90.00
Sites, in units of the cell vectors:
1 Er 0.2500 0.5631 0.1369
2 Er 0.7500 0.4369 0.8631
3 Er 0.2500 0.9369 0.6369
4 Er 0.7500 0.0631 0.3631
5 Th 0.2500 0.3388 0.5382
6 Th 0.7500 0.6612 0.4618
7 Th 0.2500 0.1612 0.0382
8 Th 0.7500 0.8388 0.9618
9 Pb 0.2500 0.6417 0.7573
10 Pb 0.7500 0.3583 0.2427
11 Pb 0.2500 0.8583 0.2573
12 Pb 0.7500 0.1417 0.7427

Output
* total magnetic moment: 0.0 μB per formula unit
* N(E_F): 3.1 states/eV/f.u.

A plane-wave DFT calculation with PBE was carried out for a geometry-optimized ErTh4Pb4 structure.

Unit cell a=6.3937 b=9.3656 c=9.3656 alpha=90.00 beta=90.00 gamma=90.00
Sites, in units of the cell vectors:
1 Er 0.0000 0.0000 0.0000
2 Er 0.5000 0.5000 0.5000
3 Th 0.3509 0.4293 0.8361
4 Th 0.8509 0.6639 0.9293
5 Th 0.3509 0.5707 0.1639
6 Th 0.1491 0.0707 0.6639
7 Th 0.6491 0.8361 0.5707
8 Th 0.1491 0.9293 0.3361
9 Th 0.8509 0.3361 0.0707
10 Th 0.6491 0.1639 0.4293
11 Pb 0.6350 0.8895 0.1996
12 Pb 0.6350 0.1105 0.8004
13 Pb 0.1350 0.6996 0.6105
14 Pb 0.8650 0.3895 0.6996
15 Pb 0.8650 0.6105 0.3004
16 Pb 0.3650 0.1996 0.1105
17 Pb 0.3650 0.8004 0.8895
18 Pb 0.1350 0.3004 0.3895

Output
* total magnetic moment: 0.0 μB per formula unit
* N(E_F): 9.0 states/eV/f.u.

A plane-wave DFT calculation with PBE was carried out for a geometry-optimized ErTiPb structure.

Unit cell a=4.3147 b=4.3147 c=8.5197 alpha=104.67 beta=104.67 gamma=90.00
Sites, in units of the cell vectors:
1 Er 0.6680 0.6680 0.3360
2 Er 0.3320 0.3320 0.6640
3 Ti 0.5000 0.0000 0.0000
4 Ti 0.0000 0.5000 0.0000
5 Pb 0.1308 0.1308 0.2617
6 Pb 0.8692 0.8692 0.7383

Output
* total magnetic moment: 1.6 μB per formula unit
* N(E_F): 2.5 states/eV/f.u.

A plane-wave DFT calculation with PBE was carried out for a geometry-optimized ErTiPb structure.

Unit cell a=3.6208 b=3.6208 c=6.0574 alpha=107.39 beta=107.39 gamma=90.00
Sites, in units of the cell vectors:
1 Pb 0.2679 0.2679 0.5359
2 Ti 0.6250 0.6250 0.2501
3 Er 0.9570 0.9570 0.9141

Output
* total magnetic moment: 0.0 μB per formula unit
* N(E_F): 5.9 states/eV/f.u.

A plane-wave DFT calculation with PBE was carried out for a geometry-optimized Er5Ti3Pb12 structure.

Unit cell a=15.2043 b=15.2043 c=15.2043 alpha=109.47 beta=109.47 gamma=109.47
Sites, in units of the cell vectors:
1 Ti 0.7500 0.3750 0.1250
2 Ti 0.8750 0.7500 0.1250
3 Ti 0.3750 0.7500 0.6250
4 Ti 0.2500 0.1250 0.3750
5 Ti 0.8750 0.1250 0.2500
6 Ti 0.3750 0.6250 0.2500
7 Ti 0.6250 0.3750 0.7500
8 Ti 0.1250 0.8750 0.7500
9 Ti 0.7500 0.8750 0.6250
10 Ti 0.6250 0.2500 0.3750
11 Ti 0.1250 0.2500 0.8750
12 Ti 0.2500 0.6250 0.8750
13 Er 0.1250 0.3750 0.2500
14 Er 0.0000 0.5000 0.0000
15 Er 0.0000 0.0000 0.0000
16 Er 0.3750 0.2500 0.1250
17 Er 0.5000 0.0000 0.5000
18 Er 0.5000 0.5000 0.0000
19 Er 0.1250 0.7500 0.3750
20 Er 0.7500 0.1250 0.8750
21 Er 0.7500 0.6250 0.3750
22 Er 0.3750 0.1250 0.7500
23 Er 0.6250 0.8750 0.2500
24 Er 0.5000 0.5000 0.5000
25 Er 0.5000 0.0000 0.0000
26 Er 0.0000 0.0000 0.5000
27 Er 0.2500 0.3750 0.6250
28 Er 0.2500 0.8750 0.1250
29 Er 0.0000 0.5000 0.5000
30 Er 0.8750 0.2500 0.6250
31 Er 0.6250 0.7500 0.8750
32 Er 0.8750 0.6250 0.7500
33 Pb 0.7434 0.1373 0.0768
34 Pb 0.3334 0.5768 0.4395
35 Pb 0.9232 0.3627 0.2566
36 Pb 0.5768 0.2434 0.1373
37 Pb 0.6062 0.7434 0.6666
38 Pb 0.9232 0.5605 0.1666
39 Pb 0.3334 0.7566 0.3938
40 Pb 0.0605 0.8938 0.1373
41 Pb 0.5605 0.9232 0.6666
42 Pb 0.7434 0.6062 0.1666
43 Pb 0.7566 0.4232 0.3627
44 Pb 0.8334 0.9395 0.0768
45 Pb 0.1373 0.7434 0.5768
46 Pb 0.3627 0.4395 0.1062
47 Pb 0.1062 0.9395 0.3627
48 Pb 0.3938 0.1373 0.5605
49 Pb 0.1062 0.1666 0.2434
50 Pb 0.4232 0.6666 0.0605
51 Pb 0.8334 0.8938 0.2566
52 Pb 0.1373 0.3938 0.0605
53 Pb 0.3627 0.9232 0.7566
54 Pb 0.5605 0.6373 0.3938
55 Pb 0.9395 0.8334 0.5768
56 Pb 0.7566 0.3334 0.8938
57 Pb 0.4395 0.3627 0.6062
58 Pb 0.0605 0.1666 0.4232
59 Pb 0.2434 0.6666 0.1062
60 Pb 0.1666 0.1062 0.7434
61 Pb 0.6373 0.0768 0.2434
62 Pb 0.8627 0.6062 0.9395
63 Pb 0.5768 0.3334 0.9395
64 Pb 0.6062 0.8627 0.4395
65 Pb 0.8938 0.8334 0.7566
66 Pb 0.8938 0.0605 0.6373
67 Pb 0.8627 0.2566 0.4232
68 Pb 0.1666 0.0605 0.9232
69 Pb 0.6373 0.5605 0.8938
70 Pb 0.4395 0.0768 0.3334
71 Pb 0.2566 0.3938 0.8334
72 Pb 0.2434 0.5768 0.6373
73 Pb 0.9395 0.1062 0.8627
74 Pb 0.6666 0.2434 0.6062
75 Pb 0.4232 0.7566 0.8627
76 Pb 0.0768 0.4395 0.8334
77 Pb 0.3938 0.2566 0.3334
78 Pb 0.0768 0.6373 0.7434
79 Pb 0.6666 0.4232 0.5605
80 Pb 0.2566 0.8627 0.9232

Output
* total magnetic moment: 0.9 μB per formula unit
* N(E_F): 18.5 states/eV/f.u.

Number 1: calculated formation energy -0.373 eV per atom, E_tot -4.8796 eV/atom. Number 2: calculated formation energy -0.294 eV per atom, E_tot -5.5240 eV/atom. Number 3: calculated formation energy -0.102 eV per atom, E_tot -5.5547 eV/atom. Number 4: calculated formation energy -0.265 eV per atom, E_tot -5.6537 eV/atom. Number 5: calculated formation energy -0.054 eV per atom, E_tot -5.4432 eV/atom. Number 6: calculated formation energy 0.269 eV per atom, E_tot -4.2807 eV/atom.